Compound: FeCoHg2
Source: Alexandria via LeMat-Bulk
Functional: SCAN
Structure: PBEsol geometry

Computed properties:
Total magnetization, μB/f.u.: 4.67
Raw total energy, eV per atom: -42.494
DOS(E_F), states/eV per cell: 3.7
Crystal system: monoclinic

Cell: 8.8634 3.0415 4.8253 Å, 90.00 103.16 90.00°
Space group C2/m (No. 12)
Unique sites:
1 Fe 0.0000 0.0000 0.0000 [2 per cell]
2 Co 0.0000 0.5000 0.5000 [2 per cell]
3 Hg 0.2471 0.0000 0.7472 [4 per cell]